The following is a PBE calculation of a relaxed structure of HoTmCo2B2C2, from OQMD via LeMat-Bulk.

## Properties
SG: P4mm (99)
Total magnetic moment in μB per cell: 1.00
Mass density in Mg/m³: 8.77

a = 3.5139 Å, b = 3.5139 Å, c = 7.6257 Å
α = 90.00°, β = 90.00°, γ = 90.00°
Element x y z (fractional)
Ho: 0.0000 0.0000 0.0000
Tm: 0.5000 0.5000 0.3298
Co: 0.0000 0.5000 0.6649
Co: 0.5000 0.0000 0.6649
B: 0.0000 0.0000 0.5134
B: 0.5000 0.5000 0.8179
C: 0.0000 0.0000 0.3161
C: 0.5000 0.5000 0.0155

The following is a PBE calculation of a relaxed structure of Y2HoCo2B2C3, from OQMD via LeMat-Bulk.

## Properties
SG: I4/mmm (139)
Total magnetic moment in μB per cell: 0.00
Mass density in Mg/m³: 6.67

a = 10.5743 Å, b = 10.5743 Å, c = 10.5743 Å
α = 160.70°, β = 160.70°, γ = 27.43°
Element x y z (fractional)
Y: 0.1236 0.1236 0.0000
Y: 0.8764 0.8764 0.0000
Ho: 0.5000 0.5000 0.0000
Co: 0.2500 0.7500 0.5000
Co: 0.7500 0.2500 0.5000
B: 0.3061 0.3061 0.0000
B: 0.6939 0.6939 0.0000
C: 0.0000 0.0000 0.0000
C: 0.3791 0.3791 0.0000
C: 0.6209 0.6209 0.0000

The following is a PBE calculation of a relaxed structure of La2PrCo2B2C3, from OQMD via LeMat-Bulk.

## Properties
SG: I4/mmm (139)
Total magnetic moment in μB per cell: 1.93
Mass density in Mg/m³: 6.63

a = 10.9043 Å, b = 10.9043 Å, c = 10.9043 Å
α = 160.20°, β = 160.20°, γ = 28.15°
Element x y z (fractional)
La: 0.1299 0.1299 0.0000
La: 0.8701 0.8701 0.0000
Pr: 0.5000 0.5000 0.0000
Co: 0.2500 0.7500 0.5000
Co: 0.7500 0.2500 0.5000
B: 0.3006 0.3006 0.0000
B: 0.6994 0.6994 0.0000
C: 0.0000 0.0000 0.0000
C: 0.3716 0.3716 0.0000
C: 0.6284 0.6284 0.0000

Number 1: electronic total energy -7.33 eV/atom. Number 2: electronic total energy -7.59 eV/atom. Number 3: electronic total energy -7.07 eV/atom.